Entry 1:
The following is a DFT calculation (PBE-GGA) of an optimized crystal structure of Al8ZnMo2.

Unit cell a=6.840 b=6.840 c=4.915 alpha=102.32 beta=102.32 gamma=60.44
Sites, in units of the cell vectors:
Al 0.136 0.756 0.721
Al 0.156 0.156 0.843
Al 0.244 0.864 0.279
Al 0.274 0.274 0.401
Al 0.726 0.726 0.599
Al 0.756 0.136 0.721
Al 0.844 0.844 0.157
Al 0.864 0.244 0.279
Zn 0.500 0.500 0.500
Mo 0.387 0.387 0.954
Mo 0.613 0.613 0.046

Properties
M_tot = 0.000 μB/atom
calculated formation energy = 0.1668 eV/atom
V = 17.62 A^3/atom
offset from the most stable computed form = 0.1825 eV per atom
density of states at the Fermi level = 0.518 states/eV per atom

---

Entry 2:
The following is a DFT calculation (PBE-GGA) of an optimized crystal structure of Dy2FeH.

Unit cell a=8.489 b=8.489 c=8.489 alpha=22.22 beta=22.22 gamma=22.22
Sites, in units of the cell vectors:
Dy 0.108 0.108 0.108
Dy 0.892 0.892 0.892
Fe 0.000 0.000 0.000
H 0.500 0.500 0.500

Properties
uncorrected energy = -19.40 eV for the cell shown
M_tot = 0.606 μB/atom
V = 19.17 A^3/atom
density of states at the Fermi level = 0.897 states/eV per atom

---

Entry 3:
The following is a DFT calculation (PBE-GGA) of an optimized crystal structure of SrSi2Se.

Unit cell a=3.868 b=3.868 c=6.279 alpha=90.00 beta=90.00 gamma=90.00
Sites, in units of the cell vectors:
Sr 0.000 0.000 0.000
Si 0.500 0.500 0.318
Si 0.500 0.500 0.682
Se 0.000 0.000 0.500

Properties
M_tot = 0.000 μB/atom
energy relative to the elements, uncorrected = -0.043 eV/atom
V = 23.48 A^3/atom
density of states at the Fermi level = 0.494 states/eV per atom

---

Entry 4:
The following is a DFT calculation (PBE-GGA) of an optimized crystal structure of GaAgTe2I.

Unit cell a=5.394 b=5.394 c=5.769 alpha=90.00 beta=90.00 gamma=90.00
Sites, in units of the cell vectors:
Ga 0.000 0.000 0.000
Ag 0.500 0.500 0.500
Te 0.000 0.500 0.000
Te 0.500 0.000 0.000
I 0.000 0.000 0.500

Properties
M_tot = 0.000 μB/atom
energy relative to the elements, uncorrected = 0.395 eV/atom
V = 33.57 A^3/atom
offset from the most stable computed form = 0.0917 eV per atom
density of states at the Fermi level = 1.167 states/eV per atom

---

Q: M_tot of number 2 (Dy2FeH)?
A: 0.606 μB/atom

---

Q: Which value of density of states at the Fermi level does entry 3 give?
A: 0.494 states/eV per atom